# 1
Density functional theory data (GGA-PBE) for Hg2Te2O5 after structural relaxation.

Summary:
The volume is 179 Å³ per cell. For the uncorrected formation energy, the calculation gives -5.91 eV per formula unit.

a b c (Å): 4.2308 7.0574 6.3009
angles (deg): 89.31 90.00 107.44
Fractional coordinates of all 9 atoms:
Hg 0.4188 0.8377 0.3840
Hg 0.5812 0.1623 0.6160
Te 0.1470 0.2941 0.0172
Te 0.8530 0.7059 0.9828
O 0.3334 0.6668 0.0187
O 0.6666 0.3332 0.9813
O 0.1608 0.3215 0.7175
O 0.8392 0.6785 0.2825
O 0.0000 0.0000 0.0000

---

# 2
Density functional theory data (GGA-PBE) for Hg4TeO4 after structural relaxation.

Summary:
The volume is 174 Å³ per cell. For the uncorrected formation energy, the calculation gives -1.75 eV per formula unit.

a b c (Å): 6.4619 6.1077 6.1076
angles (deg): 73.75 58.06 58.06
Each line ends with the local moment (μB).
Fractional coordinates of all 9 atoms:
Hg 0.7702 0.7298 0.7298  0.03
Hg 0.2298 0.2702 0.2702  0.03
Hg 0.5000 0.2702 0.7298  0.03
Hg 0.5000 0.7298 0.2702  0.03
Te 0.0000 0.0000 0.0000  0.35
O 0.7099 0.2901 0.2901  0.11
O 0.2901 0.7099 0.7099  0.11
O 0.0000 0.7099 0.2900  0.11
O 0.0000 0.2901 0.7100  0.11

---

Number 1: mass density 6.81 g cm⁻³, total magnetization 0.00 μB/cell. Number 2: mass density 9.51 g cm⁻³, total magnetization 1.28 μB/cell.